Density functional theory data (GGA-PBE) for an optimized crystal structure of HoGe2IrRh.

Lattice parameters (Å, degrees): 4.1452 4.1452 5.9340 110.44 110.44 90.00
Last column: nearest neighbours and their distance in Å.
Fractional coordinates of all 5 atoms:
Ir 0.2500 0.7500 0.5000  4 Ge 2.46
Ho 0.0000 0.0000 0.0000  8 Ge 3.18, 4 Rh 3.31, 4 Ir 3.31
Ge 0.3793 0.3793 0.7586  2 Ir 2.46, 2 Rh 2.46, 1 Ge 2.49
Ge 0.6207 0.6207 0.2414  2 Rh 2.46, 2 Ir 2.46, 1 Ge 2.49
Rh 0.7500 0.2500 0.5000  4 Ge 2.46

Output
Calculated volume in Å³/cell: 88.7
ρ in kg/m3: 11338
Energy of formation from the pure elements in meV/atom: -815